No. 1
Density functional theory data (PBE) for crystalline Zr2SiBi at its relaxed geometry.

Properties
The density of states at the Fermi level is 0.84 states/eV per atom. As for the energy above the most stable polymorph in this dataset: 0 meV/atom. As for the uncorrected formation energy: -510 meV/atom.

Cell lengths 3.9147, 3.9147, 20.9315 Å; angles 90.00, 90.00, 120.00 degrees
Space group R-3m (No. 166, hexagonal axes)
Unique sites:
Zr 0.0000 0.0000 0.2354 x6
Si 0.0000 0.0000 0.5000 x3
Bi 0.0000 0.0000 0.0000 x3

=====

No. 2
Density functional theory data (PBE) for crystalline Sm12Hg3N5 at its relaxed geometry.

Properties
The density of states at the Fermi level is 0.89 states/eV per atom. As for the uncorrected formation energy: -761 meV/atom.

Cell lengths 15.964, 15.964, 15.964 Å; angles 90.00, 90.00, 90.00 degrees
Space group Ia-3d (No. 230)
Unique sites:
Sm 0.037 0.050 0.648 x96
Hg 0.000 0.250 0.125 x24
N 0.000 0.000 0.000 x16
N 0.000 0.250 0.375 x24

=====

No. 3
Density functional theory data (PBE) for crystalline P2HSF at its relaxed geometry.

Properties
The density of states at the Fermi level is 0.41 states/eV per atom. As for the energy above the most stable polymorph in this dataset: 0 meV/atom.

Cell lengths 3.962, 3.962, 3.777 Å; angles 90.00, 90.00, 90.00 degrees
Space group P4/mmm (No. 123)
Unique sites:
P 0.000 0.500 0.000 x2
H 0.000 0.000 0.000 x1
S 0.000 0.000 0.500 x1
F 0.500 0.500 0.500 x1

=====

No. 4
Density functional theory data (PBE) for crystalline LaI at its relaxed geometry.

Properties
The density of states at the Fermi level is 1.07 states/eV per atom. As for the uncorrected formation energy: -865 meV/atom.

Cell lengths 9.868, 9.868, 6.309 Å; angles 90.00, 90.00, 90.00 degrees
Space group I4/m (No. 87)
Unique sites:
La 0.076 0.684 0.000 x8
I 0.096 0.741 0.500 x8

=====

No. 5
Density functional theory data (PBE) for crystalline HoInSn2S5 at its relaxed geometry.

Properties
As for the uncorrected formation energy: -894 meV/atom.

Cell lengths 3.938, 18.121, 13.157 Å; angles 90.00, 90.00, 90.00 degrees
Space group Cmc2_1 (No. 36)
Unique sites:
Ho 0.000 0.196 0.000 x4
In 0.000 0.457 0.411 x4
Sn 0.000 0.134 0.299 x4
Sn 0.000 0.147 0.639 x4
S 0.000 0.041 0.027 x4
S 0.000 0.295 0.647 x4
S 0.000 0.322 0.359 x4
S 0.000 0.345 0.000 x4
S 0.000 0.466 0.759 x4

=====

No. 6
Density functional theory data (PBE) for crystalline MgCdCo2C at its relaxed geometry.

Properties
The density of states at the Fermi level is 0.63 states/eV per atom. The calculation puts the formation enthalpy at 0 K at 0.1370 eV per atom.

Cell lengths 3.828, 3.828, 4.316 Å; angles 90.00, 90.00, 90.00 degrees
Space group P4/mmm (No. 123)
Unique sites:
Mg 0.000 0.000 0.000 x1
Cd 0.500 0.500 0.000 x1
Co 0.000 0.500 0.500 x2
C 0.000 0.000 0.500 x1